K2Cr2AsO10 after structural relaxation, computed with PBE with a Hubbard U.

Properties
Its final energy is -6.033 eV per atom.

Unit cell a=7.9826 b=7.9826 c=15.0109 alpha=90.00 beta=90.00 gamma=120.00
Space group P3_1 (No. 144)
Symmetry-distinct sites (fractional):
K 0.0212 0.5083 0.0000 [3 per cell]
K 0.3623 0.3612 0.8221 [3 per cell]
Cr 0.0359 0.6013 0.2520 [3 per cell]
Cr 0.4546 0.4087 0.0687 [3 per cell]
As 0.1843 0.0399 0.1933 [3 per cell]
O 0.0394 0.0207 0.8198 [3 per cell]
O 0.0784 0.4985 0.8069 [3 per cell]
O 0.0988 0.7249 0.6722 [3 per cell]
O 0.1660 0.5566 0.3208 [3 per cell]
O 0.1728 0.3717 0.5252 [3 per cell]
O 0.2148 0.1338 0.2986 [3 per cell]
O 0.3694 0.2481 0.6420 [3 per cell]
O 0.3930 0.1848 0.1288 [3 per cell]
O 0.4984 0.0714 0.8464 [3 per cell]
O 0.5376 0.1796 0.3385 [3 per cell]



K3CrAs2O8 after structural relaxation, computed with PBE with a Hubbard U.

Properties
The density of states at the Fermi level is 0.000 states/eV/atom. Its final energy is -5.892 eV per atom.

Unit cell a=5.6581 b=5.6581 c=7.7123 alpha=90.00 beta=90.00 gamma=120.00
Space group P-3m1 (No. 164)
Symmetry-distinct sites (fractional):
K 0.0000 0.0000 0.0000 [1 per cell]
K 0.3333 0.6667 0.7185 [2 per cell]
Cr 0.0000 0.0000 0.5000 [1 per cell]
As 0.3333 0.6667 0.2694 [2 per cell]
O 0.1655 0.3311 0.3401 [6 per cell]
O 0.3333 0.6667 0.0517 [2 per cell]



KCrAsO4 after structural relaxation, computed with PBE with a Hubbard U.

Properties
Its final energy is -6.230 eV per atom.

Unit cell a=5.599 b=5.814 c=7.216 alpha=90.00 beta=106.46 gamma=90.00
Space group P2_1/m (No. 11)
Symmetry-distinct sites (fractional):
K 0.208 0.250 0.436 [2 per cell]
Cr 0.276 0.250 0.954 [2 per cell]
As 0.245 0.750 0.157 [2 per cell]
O 0.025 0.750 0.934 [2 per cell]
O 0.049 0.750 0.305 [2 per cell]
O 0.450 0.521 0.187 [4 per cell]



K2CrAs2O6 after structural relaxation, computed with PBE with a Hubbard U.

Properties
The density of states at the Fermi level is 0.063 states/eV/atom. Its final energy is -5.893 eV per atom.

Unit cell a=5.7767 b=5.7767 c=18.9958 alpha=90.00 beta=90.00 gamma=120.00
Space group R-3m (No. 166, hexagonal axes)
Symmetry-distinct sites (fractional):
K 0.0000 0.0000 0.2453 [6 per cell]
Cr 0.0000 0.0000 0.0000 [3 per cell]
As 0.0000 0.0000 0.4260 [6 per cell]
O 0.0007 0.5004 0.2690 [18 per cell]



KCrAsO6 after structural relaxation, computed with PBE with a Hubbard U.

Properties
Its final energy is -5.996 eV per atom.

Unit cell a=4.9757 b=4.9757 c=6.0413 alpha=90.00 beta=90.00 gamma=120.00
Space group P3 (No. 143)
Symmetry-distinct sites (fractional):
K 0.0000 0.0000 0.0000 [1 per cell]
Cr 0.3333 0.6667 0.4820 [1 per cell]
As 0.6667 0.3333 0.5387 [1 per cell]
O 0.0103 0.4052 0.6899 [3 per cell]
O 0.3912 0.3876 0.3408 [3 per cell]



KCr2AsO8 after structural relaxation, computed with PBE with a Hubbard U.

Properties
Its final energy is -6.315 eV per atom.

Unit cell a=8.920 b=5.637 c=7.951 alpha=90.00 beta=93.52 gamma=90.00
Space group C2/m (No. 12)
Symmetry-distinct sites (fractional):
K 0.000 0.000 0.000 [2 per cell]
Cr 0.131 0.500 0.292 [4 per cell]
As 0.000 0.000 0.500 [2 per cell]
O 0.024 0.253 0.312 [8 per cell]
O 0.196 0.500 0.106 [4 per cell]
O 0.229 0.000 0.558 [4 per cell]



KCr2As2O6 after structural relaxation, computed with PBE with a Hubbard U.

Properties
The density of states at the Fermi level is 0.278 states/eV/atom. Its final energy is -6.341 eV per atom.

Unit cell a=5.516 b=6.019 c=6.343 alpha=102.02 beta=105.98 gamma=109.08
Space group P-1 (No. 2)
Symmetry-distinct sites (fractional):
K 0.000 0.000 0.000 [1 per cell]
Cr 0.274 0.568 0.930 [2 per cell]
As 0.448 0.716 0.484 [2 per cell]
O 0.158 0.571 0.209 [2 per cell]
O 0.301 0.729 0.696 [2 per cell]
O 0.344 0.282 0.863 [2 per cell]